(1)
## NiMoBr2 (SCAN)

Data for NiMoBr2 at its PBEsol-relaxed geometry.

Cell lengths 7.762, 7.762, 7.762 Å; angles 23.35, 23.35, 23.35 degrees
Fractional coordinates of all 4 atoms:
Ni: 0.000 0.000 0.000
Mo: 0.500 0.500 0.500
Br: 0.252 0.252 0.252
Br: 0.748 0.748 0.748

Output
Offset from the most stable computed form (eV/atom): 0.000
D(E_F) (states/eV/f.u.): 2.3
Raw formation energy (meV/atom): 637
Crystal system: trigonal

=====

(2)
## Sc2TaCr (SCAN)

Data for Sc2TaCr at its PBEsol-relaxed geometry.

Cell lengths 5.381, 5.381, 2.798 Å; angles 93.86, 93.86, 118.82 degrees
Fractional coordinates of all 4 atoms:
Sc: 0.000 0.500 0.000
Sc: 0.500 0.000 0.000
Ta: 0.000 0.000 0.500
Cr: 0.500 0.500 0.500

Output
Offset from the most stable computed form (eV/atom): 0.181
D(E_F) (states/eV/f.u.): 4.5
Crystal system: monoclinic
Energy of formation (eV/atom): 0.37

=====

(3)
## K2BI2 (SCAN)

Data for K2BI2 at its PBEsol-relaxed geometry.

Cell lengths 6.877, 6.877, 6.877 Å; angles 121.47, 121.47, 87.47 degrees
Fractional coordinates of all 5 atoms:
K: 0.250 0.750 0.500
K: 0.750 0.250 0.500
B: 0.000 0.000 0.000
I: 0.292 0.292 0.000
I: 0.708 0.708 0.000

Output
D(E_F) (states/eV/f.u.): 4.7
Raw formation energy (meV/atom): -24
Crystal system: tetragonal

=====

(4)
## BeNiP2S (SCAN)

Data for BeNiP2S at its PBEsol-relaxed geometry.

Cell lengths 4.195, 4.195, 4.707 Å; angles 90.00, 90.00, 90.00 degrees
Fractional coordinates of all 5 atoms:
Be: 0.000 0.000 0.000
Ni: 0.500 0.500 0.500
P: 0.000 0.500 0.500
P: 0.500 0.000 0.500
S: 0.500 0.500 0.000

Output
D(E_F) (states/eV/f.u.): 4.2
Raw formation energy (meV/atom): 937
Crystal system: tetragonal

=====

(5)
## Ni5Rh (SCAN)

Data for Ni5Rh at its PBEsol-relaxed geometry.

Cell lengths 2.520, 2.520, 12.094 Å; angles 90.00, 90.00, 120.00 degrees
Fractional coordinates of all 6 atoms:
Ni: 0.000 0.000 0.000
Ni: 0.333 0.667 0.162
Ni: 0.333 0.667 0.675
Ni: 0.667 0.333 0.325
Ni: 0.667 0.333 0.838
Rh: 0.000 0.000 0.500

Output
D(E_F) (states/eV/f.u.): 6.0
Crystal system: trigonal
Energy of formation (eV/atom): 0.04

=====

(6)
## ZnW3 (SCAN)

Data for ZnW3 at its PBEsol-relaxed geometry.

Cell lengths 4.536, 4.536, 4.536 Å; angles 90.00, 90.00, 90.00 degrees
Fractional coordinates of all 4 atoms:
Zn: 0.000 0.000 0.000
W: 0.000 0.000 0.500
W: 0.000 0.500 0.000
W: 0.500 0.000 0.000

Output
Offset from the most stable computed form (eV/atom): 3.117
D(E_F) (states/eV/f.u.): 3.2
Crystal system: cubic
Energy of formation (eV/atom): 3.50

=====

no.,total magnetization (μB/cell),E_tot (Ha/atom)
1,0.00,-0.803
2,2.80,-1.029
3,1.00,-0.718
4,0.00,-0.340
5,4.61,-0.700
6,0.00,-1.916